Record 1
First-principles (PBE-GGA) data for crystalline Nd6GeIr3 at its relaxed geometry, as listed in Alexandria.

Lattice parameters (Å, degrees): 4.270 11.649 12.081 108.03 90.00 90.00
Fractional coordinates of all 20 atoms:
Nd 0.750 0.466 0.607
Nd 0.250 0.534 0.393
Nd 0.750 0.923 0.098
Nd 0.250 0.077 0.902
Nd 0.750 0.398 0.060
Nd 0.250 0.602 0.940
Nd 0.750 0.728 0.273
Nd 0.250 0.272 0.727
Nd 0.750 0.123 0.459
Nd 0.250 0.877 0.541
Nd 0.750 0.799 0.764
Nd 0.250 0.201 0.236
Ge 0.750 0.047 0.692
Ge 0.250 0.953 0.308
Ir 0.750 0.440 0.833
Ir 0.250 0.560 0.167
Ir 0.750 0.689 0.505
Ir 0.250 0.311 0.495
Ir 0.750 0.156 0.076
Ir 0.250 0.844 0.924

For the formation energy, the calculation gives -5.9 eV/f.u. As for the total magnetic moment: 0.000 μB per cell. As for the space group: P2_1/m.

---

Record 2
First-principles (PBE-GGA) data for crystalline Tb5Pr2Tl4 at its relaxed geometry, as listed in Alexandria.

Lattice parameters (Å, degrees): 3.530 8.634 12.609 110.02 98.05 90.00
Fractional coordinates of all 11 atoms:
Tb 0.623 0.823 0.246
Tb 0.377 0.177 0.754
Tb 0.623 0.423 0.246
Tb 0.500 0.000 0.000
Tb 0.377 0.577 0.754
Pr 0.753 0.753 0.506
Pr 0.247 0.247 0.494
Tl 0.113 0.113 0.227
Tl 0.000 0.326 0.000
Tl 0.887 0.887 0.773
Tl 0.000 0.674 0.000

For the formation energy, the calculation gives 0.4 eV/f.u. As for the total magnetic moment: 0.000 μB per cell. As for the space group: Immm.

---

Record 3
First-principles (PBE-GGA) data for crystalline Y3BeAs at its relaxed geometry, as listed in Alexandria.

Lattice parameters (Å, degrees): 5.088 5.088 5.088 90.00 90.00 90.00
Fractional coordinates of all 5 atoms:
Y 0.000 0.500 0.000
Y 0.000 0.000 0.500
Y 0.500 0.000 0.000
Be 0.000 0.000 0.000
As 0.500 0.500 0.500

For the formation energy, the calculation gives -0.5 eV/f.u. As for the total magnetic moment: 0.000 μB per cell. As for the space group: Pm-3m.

---

Record 4
First-principles (PBE-GGA) data for crystalline ZrNi at its relaxed geometry, as listed in Alexandria.

Lattice parameters (Å, degrees): 4.396 4.396 5.151 90.00 90.00 120.00
Fractional coordinates of all 4 atoms:
Zr 0.333 0.667 0.750
Zr 0.667 0.333 0.250
Ni 0.333 0.667 0.250
Ni 0.667 0.333 0.750

For the formation energy, the calculation gives 0.5 eV/f.u. As for the total magnetic moment: 0.000 μB per cell. As for the space group: P6_3/mmc.

---

Record 5
First-principles (PBE-GGA) data for crystalline Tl3ZnH2Pd9 at its relaxed geometry, as listed in Alexandria.

Lattice parameters (Å, degrees): 5.771 5.771 8.273 90.00 90.00 120.00
Fractional coordinates of all 15 atoms:
Tl 0.333 0.667 0.657
Tl 0.000 0.000 0.000
Tl 0.667 0.333 0.343
Zn 0.000 0.000 0.500
H 0.333 0.667 0.127
H 0.667 0.333 0.873
Pd 0.830 0.170 0.718
Pd 0.830 0.659 0.718
Pd 0.341 0.170 0.718
Pd 0.659 0.830 0.282
Pd 0.170 0.341 0.282
Pd 0.170 0.830 0.282
Pd 0.500 0.000 0.000
Pd 0.000 0.500 0.000
Pd 0.500 0.500 0.000

As for the total magnetic moment: 0.000 μB per cell. As for the space group: P-3m1.

---

Record 6
First-principles (PBE-GGA) data for crystalline ZrMnSb2 at its relaxed geometry, as listed in Alexandria.

Lattice parameters (Å, degrees): 4.275 4.275 10.100 77.78 77.78 90.00
Fractional coordinates of all 8 atoms:
Sb 0.603 0.125 0.250
Sb 0.147 0.625 0.250
Sb 0.375 0.397 0.750
Sb 0.875 0.853 0.750
Mn 0.500 0.500 0.000
Mn 0.250 0.750 0.500
Zr 0.000 0.000 0.000
Zr 0.750 0.250 0.500

As for the total magnetic moment: 0.003 μB per cell. As for the space group: I-42d.

---

Record 7
First-principles (PBE-GGA) data for crystalline AsSeSBr2 at its relaxed geometry, as listed in Alexandria.

Lattice parameters (Å, degrees): 5.330 5.330 5.089 90.00 90.00 90.00
Site moments in Bohr magnetons follow the coordinates.
Fractional coordinates of all 5 atoms:
S 0.500 0.500 0.500  1.23
As 0.000 0.000 0.000  -0.03
Se 0.000 0.000 0.500  0.33
Br 0.000 0.500 0.000  0.11
Br 0.500 0.000 0.000  0.11

As for the total magnetic moment: 2.752 μB per cell. As for the space group: P4/mmm.

---

Record 8
First-principles (PBE-GGA) data for crystalline Ac8PRu3Br3 at its relaxed geometry, as listed in Alexandria.

Lattice parameters (Å, degrees): 8.810 8.812 9.426 117.89 90.01 120.00
Fractional coordinates of all 15 atoms:
Ac 0.264 0.529 0.293
Ac 0.736 0.471 0.707
Ac 0.761 0.522 0.304
Ac 0.239 0.478 0.696
Ac 0.761 0.042 0.304
Ac 0.239 0.958 0.696
Ac 0.281 0.042 0.304
Ac 0.719 0.958 0.696
P 0.000 0.000 0.500
Ru 0.500 0.000 0.500
Ru 0.500 0.500 0.500
Ru 0.000 0.500 0.500
Br 0.000 0.000 0.000
Br 0.000 0.500 0.000
Br 0.500 0.500 0.000

As for the total magnetic moment: 0.001 μB per cell. As for the space group: C2/m.

---

Record 9
First-principles (PBE-GGA) data for crystalline Mg2TlCd at its relaxed geometry, as listed in Alexandria.

Lattice parameters (Å, degrees): 5.329 5.329 3.328 90.00 90.00 100.14
Fractional coordinates of all 4 atoms:
Tl 0.500 0.000 0.500
Mg 0.000 0.000 0.000
Mg 0.500 0.500 0.000
Cd 0.000 0.500 0.500

For the formation energy, the calculation gives -0.2 eV/f.u. As for the total magnetic moment: 0.000 μB per cell. As for the space group: Cmmm.

---

Record 10
First-principles (PBE-GGA) data for crystalline NiTe7 at its relaxed geometry, as listed in Alexandria.

Lattice parameters (Å, degrees): 6.693 6.693 6.693 60.00 60.00 60.00
Site moments in Bohr magnetons follow the coordinates.
Fractional coordinates of all 8 atoms:
Ni 0.000 0.000 0.000  0.26
Te 0.500 0.500 0.000  0.01
Te 0.500 0.000 0.500  0.01
Te 0.500 0.000 0.000  0.01
Te 0.000 0.000 0.500  0.01
Te 0.000 0.500 0.000  0.01
Te 0.000 0.500 0.500  0.01
Te 0.500 0.500 0.500  0.01

As for the total magnetic moment: 0.314 μB per cell. As for the space group: Fm-3m.

---

Record 11
First-principles (PBE-GGA) data for crystalline SrMnAu2 at its relaxed geometry, as listed in Alexandria.

Lattice parameters (Å, degrees): 4.550 4.550 6.174 68.46 68.46 59.94
Site moments in Bohr magnetons follow the coordinates.
Fractional coordinates of all 4 atoms:
Au 0.043 0.043 0.873  0.04
Au 0.782 0.782 0.654  0.07
Mn 0.434 0.434 0.699  3.85
Sr 0.242 0.242 0.274  -0.01

For the formation energy, the calculation gives -1.1 eV/f.u. As for the total magnetic moment: 4.105 μB per cell. As for the space group: Cm.

---

Record 12
First-principles (PBE-GGA) data for crystalline BaSr2HfCd at its relaxed geometry, as listed in Alexandria.

Lattice parameters (Å, degrees): 6.194 6.364 6.194 90.00 90.00 90.00
Site moments in Bohr magnetons follow the coordinates.
Fractional coordinates of all 5 atoms:
Sr 0.000 0.000 0.500  0.03
Sr 0.500 0.000 0.000  0.02
Hf 0.500 0.500 0.500  1.29
Ba 0.000 0.500 0.000  0.05
Cd 0.000 0.000 0.000  -0.04

For the formation energy, the calculation gives 3.9 eV/f.u. As for the total magnetic moment: 3.038 μB per cell. As for the space group: P4/mmm.

---

Record 13
First-principles (PBE-GGA) data for crystalline BeReSi2 at its relaxed geometry, as listed in Alexandria.

Lattice parameters (Å, degrees): 3.156 3.963 3.911 90.00 90.00 90.00
Fractional coordinates of all 4 atoms:
Re 0.000 0.500 0.500
Si 0.000 0.000 0.000
Si 0.500 0.500 0.000
Be 0.500 0.000 0.500

As for the total magnetic moment: 0.000 μB per cell. As for the space group: Pmmm.

---

Record 14
First-principles (PBE-GGA) data for crystalline TlRe2Hg at its relaxed geometry, as listed in Alexandria.

Lattice parameters (Å, degrees): 4.693 4.693 4.693 60.00 60.00 60.00
Fractional coordinates of all 4 atoms:
Hg 0.500 0.500 0.500
Re 0.000 0.000 0.000
Re 0.750 0.750 0.750
Tl 0.250 0.250 0.250

For the formation energy, the calculation gives 4.9 eV/f.u. As for the total magnetic moment: 0.000 μB per cell. As for the space group: F-43m.

---

Record 15
First-principles (PBE-GGA) data for crystalline Th2Cd16Hg at its relaxed geometry, as listed in Alexandria.

Lattice parameters (Å, degrees): 7.657 7.657 7.657 82.70 82.70 82.70
Fractional coordinates of all 19 atoms:
Th 0.666 0.666 0.666
Th 0.334 0.334 0.334
Cd 0.701 0.000 0.301
Cd 0.000 0.301 0.701
Cd 0.301 0.701 0.000
Cd 0.000 0.701 0.301
Cd 0.701 0.301 0.000
Cd 0.301 0.000 0.701
Cd 0.361 0.841 0.361
Cd 0.841 0.361 0.361
Cd 0.361 0.361 0.841
Cd 0.638 0.166 0.638
Cd 0.166 0.638 0.638
Cd 0.638 0.638 0.166
Cd 0.003 0.497 0.003
Cd 0.497 0.003 0.003
Cd 0.003 0.003 0.497
Cd 0.098 0.098 0.098
Hg 0.890 0.890 0.890

For the formation energy, the calculation gives -1.2 eV/f.u. As for the total magnetic moment: 0.000 μB per cell. As for the space group: R3m.

---

Record 16
First-principles (PBE-GGA) data for crystalline Sc2CdOs at its relaxed geometry, as listed in Alexandria.

Lattice parameters (Å, degrees): 10.268 10.268 10.268 17.69 17.69 17.69
Fractional coordinates of all 4 atoms:
Sc 0.898 0.898 0.898
Sc 0.102 0.102 0.102
Os 0.500 0.500 0.500
Cd 0.000 0.000 0.000

For the formation energy, the calculation gives 0.3 eV/f.u. As for the total magnetic moment: 0.000 μB per cell. As for the space group: R-3m.

---

Record 17
First-principles (PBE-GGA) data for crystalline Li2BrCl at its relaxed geometry, as listed in Alexandria.

Lattice parameters (Å, degrees): 4.587 4.587 7.114 90.00 90.00 133.92
Fractional coordinates of all 4 atoms:
Br 0.500 0.500 0.250
Cl 0.500 0.500 0.750
Li 0.000 0.000 0.988
Li 0.000 0.000 0.512

As for the total magnetic moment: 0.000 μB per cell. As for the space group: Cmmm.

---

Record 18
First-principles (PBE-GGA) data for crystalline NaTiBr6 at its relaxed geometry, as listed in Alexandria.

Lattice parameters (Å, degrees): 7.742 7.742 7.742 60.00 60.00 60.00
Fractional coordinates of all 8 atoms:
Na 0.500 0.500 0.500
Ti 0.000 0.000 0.000
Br 0.771 0.771 0.229
Br 0.771 0.229 0.229
Br 0.229 0.771 0.771
Br 0.229 0.229 0.771
Br 0.229 0.771 0.229
Br 0.771 0.229 0.771

As for the total magnetic moment: 0.042 μB per cell. As for the space group: Fm-3m.

---

Record 19
First-principles (PBE-GGA) data for crystalline LiTi3Ru at its relaxed geometry, as listed in Alexandria.

Lattice parameters (Å, degrees): 4.268 4.268 4.268 90.00 90.00 90.00
Fractional coordinates of all 5 atoms:
Ru 0.500 0.500 0.500
Li 0.000 0.000 0.000
Ti 0.000 0.500 0.000
Ti 0.000 0.000 0.500
Ti 0.500 0.000 0.000

For the formation energy, the calculation gives 4.4 eV/f.u. As for the total magnetic moment: 0.000 μB per cell. As for the space group: Pm-3m.

---

Record 20
First-principles (PBE-GGA) data for crystalline YAlTl2 at its relaxed geometry, as listed in Alexandria.

Lattice parameters (Å, degrees): 10.437 10.437 10.437 18.97 18.97 18.97
Fractional coordinates of all 4 atoms:
Y 0.250 0.250 0.250
Tl 0.005 0.005 0.005
Tl 0.495 0.495 0.495
Al 0.750 0.750 0.750

For the formation energy, the calculation gives 0.2 eV/f.u. As for the total magnetic moment: 0.000 μB per cell. As for the space group: R-3m.

---

Record 21
First-principles (PBE-GGA) data for crystalline Cu at its relaxed geometry, as listed in Alexandria.

Lattice parameters (Å, degrees): 4.744 4.744 4.260 90.00 90.00 148.44
Fractional coordinates of all 4 atoms:
Cu 0.867 0.133 0.000
Cu 0.133 0.867 0.000
Cu 0.367 0.633 0.500
Cu 0.633 0.367 0.500

For the formation energy, the calculation gives 0.2 eV/f.u. As for the total magnetic moment: 0.000 μB per cell. As for the space group: Fmmm.

---

Record 22
First-principles (PBE-GGA) data for crystalline BaScBi at its relaxed geometry, as listed in Alexandria.

Lattice parameters (Å, degrees): 8.433 9.867 9.867 62.52 64.70 64.70
Site moments in Bohr magnetons follow the coordinates.
Fractional coordinates of all 18 atoms:
Ba 0.257 0.958 0.458  0.15
Ba 0.674 0.042 0.542  0.15
Ba 0.674 0.542 0.042  0.15
Ba 0.257 0.458 0.958  0.15
Ba 0.840 0.250 0.750  0.15
Ba 0.840 0.750 0.250  0.15
Sc 0.480 0.500 0.500  0.88
Sc 0.480 0.000 0.000  0.88
Sc 0.257 0.888 0.888  0.88
Sc 0.034 0.112 0.112  0.88
Sc 0.034 0.612 0.612  0.88
Sc 0.257 0.388 0.388  0.88
Bi 0.257 0.750 0.250  -0.07
Bi 0.257 0.250 0.750  -0.07
Bi 0.590 0.667 0.667  -0.04
Bi 0.924 0.333 0.333  -0.04
Bi 0.924 0.833 0.833  -0.04
Bi 0.590 0.167 0.167  -0.04

For the formation energy, the calculation gives -1.6 eV/f.u. As for the total magnetic moment: 11.803 μB per cell. As for the space group: P-62m.

---

Record 23
First-principles (PBE-GGA) data for crystalline CaMg6Cd at its relaxed geometry, as listed in Alexandria.

Lattice parameters (Å, degrees): 6.725 6.725 5.180 90.00 90.00 122.96
Fractional coordinates of all 8 atoms:
Ca 0.182 0.818 0.000
Mg 0.172 0.322 0.000
Mg 0.678 0.828 0.000
Mg 0.659 0.341 0.000
Mg 0.325 0.179 0.500
Mg 0.821 0.675 0.500
Mg 0.819 0.181 0.500
Cd 0.343 0.657 0.500

For the formation energy, the calculation gives -0.3 eV/f.u. As for the total magnetic moment: 0.000 μB per cell. As for the space group: Amm2.

---

Record 24
First-principles (PBE-GGA) data for crystalline YHoCd at its relaxed geometry, as listed in Alexandria.

Lattice parameters (Å, degrees): 3.565 5.244 5.244 120.00 90.00 90.00
Fractional coordinates of all 3 atoms:
Y 0.618 0.667 0.333
Ho 0.063 0.000 0.000
Cd 0.319 0.333 0.667

For the formation energy, the calculation gives -0.2 eV/f.u. As for the total magnetic moment: 0.000 μB per cell. As for the space group: P3m1.

---

| no. | total energy (eV/atom) |
| --- | --- |
| 1 | -6.5755 |
| 2 | -3.7966 |
| 3 | -5.6563 |
| 4 | -6.9080 |
| 5 | -4.3068 |
| 6 | -6.0969 |
| 7 | -2.5336 |
| 8 | -5.5514 |
| 9 | -1.6710 |
| 10 | -2.8815 |
| 11 | -4.6260 |
| 12 | -2.4597 |
| 13 | -6.5788 |
| 14 | -5.6536 |
| 15 | -1.6319 |
| 16 | -6.1289 |
| 17 | -3.3915 |
| 18 | -3.3598 |
| 19 | -6.0919 |
| 20 | -3.6793 |
| 21 | -3.9353 |
| 22 | -4.5646 |
| 23 | -1.5992 |
| 24 | -4.0683 |